1.
Below is a relaxed Te2Pd crystal, with properties calculated at the GGA-PBE level.

Unit cell a=4.0919 b=4.0919 c=5.1622 alpha=90.00 beta=90.00 gamma=120.00
Closest atoms and distances in Å follow each position.
Element x y z (fractional)
Te 0.3333 0.6667 0.2650  3 Pd 2.73
Te 0.6667 0.3333 0.7350  3 Pd 2.73
Pd 0.0000 0.0000 0.0000  6 Te 2.73

Summary:
Uncorrected energy   -12.5 eV for the cell shown


2.
Below is a relaxed HfCd2In crystal, with properties calculated at the GGA-PBE level.

Unit cell a=4.9825 b=4.9825 c=4.9825 alpha=60.00 beta=60.00 gamma=60.00
Closest atoms and distances in Å follow each position.
Element x y z (fractional)
Hf 0.0000 0.0000 0.0000  4 In 3.05, 4 Cd 3.05
Cd 0.2500 0.2500 0.2500  4 Hf 3.05, 4 Cd 3.05
Cd 0.5000 0.5000 0.5000  4 Cd 3.05, 4 In 3.05
In 0.7500 0.7500 0.7500  4 Cd 3.05, 4 Hf 3.05

Summary:
Uncorrected energy   -13.8 eV for the cell shown


3.
Below is a relaxed HoLuSnTe3 crystal, with properties calculated at the GGA-PBE level.

Unit cell a=7.9174 b=7.9174 c=11.8442 alpha=90.00 beta=90.00 gamma=148.42
Closest atoms and distances in Å follow each position.
Element x y z (fractional)
Ho 0.0000 0.0000 0.0000  6 Te 3.10-3.25
Ho 0.0000 0.0000 0.5000  6 Te 3.10-3.25
Lu 0.4565 0.5435 0.7500  4 Te 2.94, 2 Sn 3.27
Lu 0.5435 0.4565 0.2500  4 Te 2.94, 2 Sn 3.27
Sn 0.2047 0.7953 0.2500  2 Lu 3.27, 4 Te 3.45
Sn 0.7953 0.2047 0.7500  2 Lu 3.27, 4 Te 3.45
Te 0.0878 0.9122 0.7500  2 Lu 2.94, 2 Ho 3.25
Te 0.3568 0.6432 0.5371  1 Lu 2.94, 2 Ho 3.10
Te 0.3568 0.6432 0.9629  1 Lu 2.94, 2 Ho 3.10
Te 0.6432 0.3568 0.0371  1 Lu 2.94, 2 Ho 3.10
Te 0.6432 0.3568 0.4629  1 Lu 2.94, 2 Ho 3.10
Te 0.9122 0.0878 0.2500  2 Lu 2.94, 2 Ho 3.25

Summary:
Offset from the most stable computed form   21 kJ/mol of formula units


4.
Below is a relaxed Li2LuIn crystal, with properties calculated at the GGA-PBE level.

Unit cell a=4.9195 b=4.9195 c=4.9195 alpha=60.00 beta=60.00 gamma=60.00
Closest atoms and distances in Å follow each position.
Element x y z (fractional)
Li 0.0000 0.0000 0.0000  4 Lu 3.01, 4 Li 3.01
Li 0.2500 0.2500 0.2500  4 In 3.01, 4 Li 3.01
Lu 0.7500 0.7500 0.7500  4 In 3.01, 4 Li 3.01
In 0.5000 0.5000 0.5000  4 Lu 3.01, 4 Li 3.01

Summary:
Uncorrected energy   -11.9 eV for the cell shown


5.
Below is a relaxed NaBi5Os3 crystal, with properties calculated at the GGA-PBE level.

Unit cell a=5.8350 b=5.8350 c=8.4114 alpha=90.00 beta=90.00 gamma=120.00
Closest atoms and distances in Å follow each position.
Element x y z (fractional)
Na 0.0000 0.0000 0.0000  14 Bi 3.89-4.21
Bi 0.0000 0.0000 0.5000  6 Os 2.92
Bi 0.3333 0.6667 0.2303  3 Os 2.83
Bi 0.3333 0.6667 0.7697  3 Os 2.83
Bi 0.6667 0.3333 0.2303  3 Os 2.83
Bi 0.6667 0.3333 0.7697  3 Os 2.83
Os 0.0000 0.5000 0.5000  6 Bi 2.83-2.92, 4 Os 2.92
Os 0.5000 0.0000 0.5000  6 Bi 2.83-2.92, 4 Os 2.92
Os 0.5000 0.5000 0.5000  6 Bi 2.83-2.92, 4 Os 2.92

Summary:
Uncorrected energy   -51.0 eV for the cell shown


6.
Below is a relaxed Ag124Te crystal, with properties calculated at the GGA-PBE level.

Unit cell a=14.5485 b=14.5485 c=14.5485 alpha=60.00 beta=60.00 gamma=60.00
Closest atoms and distances in Å follow each position.
Element x y z (fractional)
Ag 0.0988 0.5000 0.5000  12 Ag 2.86-2.92
Ag 0.0990 0.5000 0.7005  12 Ag 2.89-2.92
Ag 0.0988 0.5000 0.9012  12 Ag 2.86-2.92
Ag 0.0990 0.7005 0.5000  12 Ag 2.89-2.92
Ag 0.0990 0.7005 0.7005  12 Ag 2.89-2.92
Ag 0.0988 0.9012 0.5000  12 Ag 2.86-2.92
Ag 0.1000 0.1000 0.1000  12 Ag 2.91
Ag 0.1001 0.1001 0.2999  12 Ag 2.90-2.91
Ag 0.1001 0.1001 0.5000  12 Ag 2.90-2.91
Ag 0.1000 0.1000 0.7000  12 Ag 2.91
Ag 0.0999 0.0999 0.9001  12 Ag 2.91
Ag 0.1001 0.2999 0.1001  12 Ag 2.90-2.91
Ag 0.1002 0.2999 0.2999  12 Ag 2.90-2.91
Ag 0.1001 0.2999 0.5000  12 Ag 2.90-2.91
Ag 0.0996 0.2998 0.7002  12 Ag 2.90-2.91
Ag 0.0996 0.2998 0.9004  12 Ag 2.90-2.91
Ag 0.1001 0.5000 0.1001  12 Ag 2.90-2.91
Ag 0.1001 0.5000 0.2999  12 Ag 2.90-2.91
Ag 0.1000 0.7000 0.1000  12 Ag 2.91
Ag 0.0996 0.7002 0.2998  12 Ag 2.90-2.91
Ag 0.0996 0.7002 0.9004  12 Ag 2.90-2.91
Ag 0.0999 0.9001 0.0999  12 Ag 2.91
Ag 0.0996 0.9004 0.2998  12 Ag 2.90-2.91
Ag 0.0996 0.9004 0.7002  12 Ag 2.90-2.91
Ag 0.0999 0.9001 0.9001  12 Ag 2.91
Ag 0.2954 0.5000 0.5000  11 Ag 2.86-2.98, 1 Te 2.98
Ag 0.2954 0.5000 0.7046  11 Ag 2.86-2.98, 1 Te 2.98
Ag 0.2954 0.7046 0.5000  11 Ag 2.86-2.98, 1 Te 2.98
Ag 0.2995 0.2995 0.5000  12 Ag 2.89-2.92
Ag 0.2990 0.2990 0.7010  12 Ag 2.90-2.93
Ag 0.2995 0.2995 0.9010  12 Ag 2.89-2.92
Ag 0.2995 0.5000 0.2995  12 Ag 2.89-2.92
Ag 0.2995 0.5000 0.9010  12 Ag 2.89-2.92
Ag 0.2990 0.7010 0.2990  12 Ag 2.90-2.93
Ag 0.2990 0.7010 0.7010  12 Ag 2.90-2.93
Ag 0.2995 0.9010 0.2995  12 Ag 2.89-2.92
Ag 0.2995 0.9010 0.5000  12 Ag 2.89-2.92
Ag 0.2999 0.1001 0.1001  12 Ag 2.90-2.91
Ag 0.2999 0.1002 0.2999  12 Ag 2.90-2.91
Ag 0.2999 0.1001 0.5000  12 Ag 2.90-2.91
Ag 0.2998 0.0996 0.7002  12 Ag 2.90-2.91
Ag 0.2998 0.0996 0.9004  12 Ag 2.90-2.91
Ag 0.2999 0.2999 0.1002  12 Ag 2.90-2.91
Ag 0.2999 0.2999 0.2999  12 Ag 2.90-2.91
Ag 0.2999 0.5000 0.1001  12 Ag 2.90-2.91
Ag 0.2998 0.7002 0.0996  12 Ag 2.90-2.91
Ag 0.2998 0.7002 0.9004  12 Ag 2.90-2.91
Ag 0.2998 0.9004 0.0996  12 Ag 2.90-2.91
Ag 0.2998 0.9004 0.7002  12 Ag 2.90-2.91
Ag 0.3000 0.9000 0.9000  12 Ag 2.91
Ag 0.5000 0.0988 0.5000  12 Ag 2.86-2.92
Ag 0.5000 0.0990 0.7005  12 Ag 2.89-2.92
Ag 0.5000 0.0988 0.9012  12 Ag 2.86-2.92
Ag 0.5000 0.1001 0.1001  12 Ag 2.90-2.91
Ag 0.5000 0.1001 0.2999  12 Ag 2.90-2.91
Ag 0.5000 0.2954 0.5000  11 Ag 2.86-2.98, 1 Te 2.98
Ag 0.5000 0.2954 0.7046  11 Ag 2.86-2.98, 1 Te 2.98
Ag 0.5000 0.2995 0.2995  12 Ag 2.89-2.92
Ag 0.5000 0.2995 0.9010  12 Ag 2.89-2.92
Ag 0.5000 0.2999 0.1001  12 Ag 2.90-2.91
Ag 0.5000 0.5000 0.0988  12 Ag 2.86-2.92
Ag 0.5000 0.5000 0.2954  11 Ag 2.86-2.98, 1 Te 2.98
Ag 0.5000 0.5000 0.7046  11 Ag 2.86-2.98, 1 Te 2.98
Ag 0.5000 0.5000 0.9012  12 Ag 2.86-2.92
Ag 0.5000 0.7001 0.8999  12 Ag 2.90-2.91
Ag 0.5000 0.7005 0.0990  12 Ag 2.89-2.92
Ag 0.5000 0.7005 0.7005  12 Ag 2.89-2.92
Ag 0.5000 0.7046 0.2954  11 Ag 2.86-2.98, 1 Te 2.98
Ag 0.5000 0.7046 0.5000  11 Ag 2.86-2.98, 1 Te 2.98
Ag 0.5000 0.8999 0.7001  12 Ag 2.90-2.91
Ag 0.5000 0.8999 0.8999  12 Ag 2.90-2.91
Ag 0.5000 0.9012 0.0988  12 Ag 2.86-2.92
Ag 0.5000 0.9010 0.2995  12 Ag 2.89-2.92
Ag 0.5000 0.9012 0.5000  12 Ag 2.86-2.92
Ag 0.7000 0.1000 0.1000  12 Ag 2.91
Ag 0.7002 0.0996 0.2998  12 Ag 2.90-2.91
Ag 0.7002 0.0996 0.9004  12 Ag 2.90-2.91
Ag 0.7002 0.2998 0.0996  12 Ag 2.90-2.91
Ag 0.7002 0.2998 0.9004  12 Ag 2.90-2.91
Ag 0.7001 0.5000 0.8999  12 Ag 2.90-2.91
Ag 0.7001 0.7001 0.7001  12 Ag 2.90-2.91
Ag 0.7001 0.7001 0.8998  12 Ag 2.90-2.91
Ag 0.7002 0.9004 0.0996  12 Ag 2.90-2.91
Ag 0.7002 0.9004 0.2998  12 Ag 2.90-2.91
Ag 0.7001 0.8999 0.5000  12 Ag 2.90-2.91
Ag 0.7001 0.8998 0.7001  12 Ag 2.90-2.91
Ag 0.7001 0.8999 0.8999  12 Ag 2.90-2.91
Ag 0.7005 0.0990 0.5000  12 Ag 2.89-2.92
Ag 0.7005 0.0990 0.7005  12 Ag 2.89-2.92
Ag 0.7010 0.2990 0.2990  12 Ag 2.90-2.93
Ag 0.7010 0.2990 0.7010  12 Ag 2.90-2.93
Ag 0.7005 0.5000 0.0990  12 Ag 2.89-2.92
Ag 0.7005 0.5000 0.7005  12 Ag 2.89-2.92
Ag 0.7005 0.7005 0.0990  12 Ag 2.89-2.92
Ag 0.7010 0.7010 0.2990  12 Ag 2.90-2.93
Ag 0.7005 0.7005 0.5000  12 Ag 2.89-2.92
Ag 0.7046 0.2954 0.5000  11 Ag 2.86-2.98, 1 Te 2.98
Ag 0.7046 0.5000 0.2954  11 Ag 2.86-2.98, 1 Te 2.98
Ag 0.7046 0.5000 0.5000  11 Ag 2.86-2.98, 1 Te 2.98
Ag 0.9001 0.0999 0.0999  12 Ag 2.91
Ag 0.9004 0.0996 0.2998  12 Ag 2.90-2.91
Ag 0.9004 0.0996 0.7002  12 Ag 2.90-2.91
Ag 0.9001 0.0999 0.9001  12 Ag 2.91
Ag 0.9004 0.2998 0.0996  12 Ag 2.90-2.91
Ag 0.9004 0.2998 0.7002  12 Ag 2.90-2.91
Ag 0.9000 0.3000 0.9000  12 Ag 2.91
Ag 0.8999 0.5000 0.7001  12 Ag 2.90-2.91
Ag 0.8999 0.5000 0.8999  12 Ag 2.90-2.91
Ag 0.9004 0.7002 0.0996  12 Ag 2.90-2.91
Ag 0.9004 0.7002 0.2998  12 Ag 2.90-2.91
Ag 0.8999 0.7001 0.5000  12 Ag 2.90-2.91
Ag 0.8998 0.7001 0.7001  12 Ag 2.90-2.91
Ag 0.8999 0.7001 0.8999  12 Ag 2.90-2.91
Ag 0.9001 0.9001 0.0999  12 Ag 2.91
Ag 0.9000 0.9000 0.3000  12 Ag 2.91
Ag 0.8999 0.8999 0.5000  12 Ag 2.90-2.91
Ag 0.8999 0.8999 0.7001  12 Ag 2.90-2.91
Ag 0.9000 0.9000 0.9000  12 Ag 2.91
Ag 0.9012 0.0988 0.5000  12 Ag 2.86-2.92
Ag 0.9010 0.2995 0.2995  12 Ag 2.89-2.92
Ag 0.9010 0.2995 0.5000  12 Ag 2.89-2.92
Ag 0.9012 0.5000 0.0988  12 Ag 2.86-2.92
Ag 0.9010 0.5000 0.2995  12 Ag 2.89-2.92
Ag 0.9012 0.5000 0.5000  12 Ag 2.86-2.92
Te 0.5000 0.5000 0.5000  12 Ag 2.98

Summary:
Uncorrected energy   -352.7 eV for the cell shown


7.
Below is a relaxed Pm2SmO3 crystal, with properties calculated at the GGA-PBE level.

Unit cell a=3.5022 b=3.5022 c=8.5671 alpha=90.00 beta=90.00 gamma=120.00
Closest atoms and distances in Å follow each position.
Element x y z (fractional)
Pm 0.3333 0.6667 0.3331  6 O 2.48
Pm 0.6667 0.3333 0.6669  6 O 2.48
Sm 0.0000 0.0000 0.0000  6 O 2.47
O 0.0000 0.0000 0.5000  6 Pm 2.48
O 0.3333 0.6667 0.8348  3 Sm 2.47, 3 Pm 2.48
O 0.6667 0.3333 0.1652  3 Sm 2.47, 3 Pm 2.48

Summary:
Uncorrected energy   -45.6 eV for the cell shown


8.
Below is a relaxed Co3AgSe5 crystal, with properties calculated at the GGA-PBE level.

Unit cell a=5.2330 b=5.2330 c=6.9524 alpha=90.00 beta=90.00 gamma=120.00
Closest atoms and distances in Å follow each position.
Element x y z (fractional)
Co 0.0000 0.5000 0.0000  6 Se 2.36-2.62, 4 Co 2.62
Co 0.5000 0.0000 0.0000  6 Se 2.36-2.62, 4 Co 2.62
Co 0.5000 0.5000 0.0000  6 Se 2.36-2.62, 4 Co 2.62
Ag 0.0000 0.0000 0.5000  14 Se 3.45-3.48
Se 0.0000 0.0000 0.0000  6 Co 2.62
Se 0.3333 0.6667 0.2609  3 Co 2.36
Se 0.3333 0.6667 0.7391  3 Co 2.36
Se 0.6667 0.3333 0.2609  3 Co 2.36
Se 0.6667 0.3333 0.7391  3 Co 2.36

Summary:
Uncorrected energy   -41.5 eV for the cell shown


9.
Below is a relaxed Cu2Se crystal, with properties calculated at the GGA-PBE level.

Unit cell a=7.3197 b=6.5272 c=4.1160 alpha=90.00 beta=90.00 gamma=90.00
Closest atoms and distances in Å follow each position.
Element x y z (fractional)
Cu 0.0000 0.1014 0.2491  3 Se 2.40-2.57, 4 Cu 2.44-2.61
Cu 0.0000 0.8986 0.7509  3 Se 2.40-2.57, 4 Cu 2.44-2.61
Cu 0.2500 0.3865 0.2500  4 Cu 2.54-2.61, 6 Se 2.78-2.83
Cu 0.2500 0.6135 0.7500  4 Cu 2.54-2.61, 6 Se 2.78-2.83
Cu 0.5000 0.1014 0.2509  3 Se 2.40-2.57, 4 Cu 2.44-2.61
Cu 0.5000 0.8986 0.7491  3 Se 2.40-2.57, 4 Cu 2.44-2.61
Cu 0.7500 0.3865 0.2500  4 Cu 2.54-2.61, 6 Se 2.78-2.83
Cu 0.7500 0.6135 0.7500  4 Cu 2.54-2.61, 6 Se 2.78-2.83
Se 0.0000 0.2923 0.7479  3 Cu 2.40-2.57
Se 0.0000 0.7077 0.2521  3 Cu 2.40-2.57
Se 0.5000 0.2923 0.7521  3 Cu 2.40-2.57
Se 0.5000 0.7077 0.2479  3 Cu 2.40-2.57

Summary:
Uncorrected energy   -42.5 eV for the cell shown


10.
Below is a relaxed DyTeAs crystal, with properties calculated at the GGA-PBE level.

Unit cell a=4.9204 b=4.9204 c=4.9204 alpha=60.00 beta=60.00 gamma=60.00
Closest atoms and distances in Å follow each position.
Element x y z (fractional)
Dy 0.0000 0.0000 0.0000  4 As 3.01
Te 0.5000 0.5000 0.5000  4 As 3.01
As 0.2500 0.2500 0.2500  4 Dy 3.01, 4 Te 3.01

Summary:
Uncorrected energy   -13.7 eV for the cell shown


11.
Below is a relaxed Hf3Cd2B2 crystal, with properties calculated at the GGA-PBE level.

Unit cell a=11.0049 b=11.0049 c=11.0049 alpha=19.40 beta=19.40 gamma=19.40
Closest atoms and distances in Å follow each position.
Element x y z (fractional)
Hf 0.0000 0.0000 0.0000  3 B 2.34
Hf 0.2136 0.2136 0.2136  3 B 2.43
Hf 0.4783 0.4783 0.4783  3 B 2.40
Cd 0.0846 0.0846 0.0846  4 Hf 2.74-2.90
Cd 0.6066 0.6066 0.6066  3 B 2.36
B 0.3042 0.3042 0.3042  3 Hf 2.34, 3 Cd 2.36
B 0.8448 0.8448 0.8448  6 Hf 2.40-2.43

Summary:
Uncorrected energy   -44.0 eV for the cell shown


12.
Below is a relaxed Na4In2AgAu crystal, with properties calculated at the GGA-PBE level.

Unit cell a=4.9940 b=4.9940 c=7.0529 alpha=90.00 beta=90.00 gamma=90.00
Closest atoms and distances in Å follow each position.
Element x y z (fractional)
Na 0.0000 0.0000 0.0000  4 Na 3.05, 4 In 3.05
Na 0.0000 0.5000 0.2486  4 Na 3.05-3.06, 2 Au 3.05, 2 Ag 3.06
Na 0.5000 0.0000 0.7514  2 Au 3.05, 4 Na 3.05-3.06, 2 Ag 3.06
Na 0.5000 0.5000 0.5000  4 In 3.06, 4 Na 3.06
In 0.0000 0.5000 0.7507  2 Au 3.05, 4 Na 3.05-3.06, 2 Ag 3.06
In 0.5000 0.0000 0.2493  2 Au 3.05, 4 Na 3.05-3.06, 2 Ag 3.06
Ag 0.0000 0.0000 0.5000  4 In 3.06, 4 Na 3.06
Au 0.5000 0.5000 0.0000  4 Na 3.05, 4 In 3.05

Summary:
Uncorrected energy   -18.1 eV for the cell shown


Number 9 is which compound? Cu2Se